The following is a DFT calculation (PBE) of a relaxed Mg2NbIn crystal.

a b c (Å): 3.077 3.077 10.814
angles (deg): 81.82 81.82 60.00
Fractional positions:
Mg 0.088 0.088 0.736
Mg 0.912 0.912 0.264
Nb 0.000 0.000 0.000
In 0.500 0.500 0.500

## Properties
Energy relative to the elements (eV/atom): 0.4194
SG: R-3m

=====

The following is a DFT calculation (PBE) of a relaxed MgNbIn crystal.

a b c (Å): 2.978 2.978 7.247
angles (deg): 101.86 101.86 90.00
Fractional positions:
In 0.995 0.995 0.989
Nb 0.332 0.332 0.665
Mg 0.673 0.673 0.346

## Properties
Energy relative to the elements (eV/atom): 0.1037
SG: I4mm

=====

The following is a DFT calculation (PBE) of a relaxed MgNb3In crystal.

a b c (Å): 4.775 4.775 4.775
angles (deg): 90.00 90.00 90.00
Fractional positions:
Nb 0.000 0.000 0.500
Nb 0.000 0.500 0.000
Nb 0.500 0.000 0.000
In 0.500 0.500 0.500
Mg 0.000 0.000 0.000

## Properties
Energy relative to the elements (eV/atom): 1.3995
SG: Pm-3m

=====

The following is a DFT calculation (PBE) of a relaxed Mg2NbIn2 crystal.

a b c (Å): 3.970 3.970 7.577
angles (deg): 74.81 74.81 90.00
Site moments in Bohr magnetons follow the coordinates.
Fractional positions:
In 0.597 0.597 0.805  -0.01
In 0.403 0.403 0.195  -0.01
Mg 0.750 0.250 0.500  -0.01
Mg 0.250 0.750 0.500  -0.01
Nb 0.000 0.000 0.000  0.76

## Properties
Energy relative to the elements (eV/atom): 0.3940
SG: I4/mmm

=====

The following is a DFT calculation (PBE) of a relaxed MgNbIn crystal.

a b c (Å): 5.132 5.199 9.534
angles (deg): 119.14 113.21 34.68
Fractional positions:
Mg 0.806 0.396 0.607
Mg 0.573 0.255 0.826
Nb 0.235 0.598 0.275
Nb 0.144 0.053 0.158
In 0.607 0.935 0.464
In 0.773 0.716 0.969

## Properties
Energy relative to the elements (eV/atom): 0.0663
SG: P-1

=====

The following is a DFT calculation (PBE) of a relaxed MgNb2In2 crystal.

a b c (Å): 7.827 7.827 3.584
angles (deg): 90.00 90.00 90.00
Fractional positions:
In 0.318 0.182 0.500
In 0.818 0.318 0.500
In 0.682 0.818 0.500
In 0.182 0.682 0.500
Nb 0.614 0.114 0.000
Nb 0.386 0.886 0.000
Nb 0.886 0.614 0.000
Nb 0.114 0.386 0.000
Mg 0.000 0.000 0.000
Mg 0.500 0.500 0.000

## Properties
Energy relative to the elements (eV/atom): 0.2396
SG: P4/mbm

=====

The following is a DFT calculation (PBE) of a relaxed Mg2NbIn crystal.

a b c (Å): 4.392 4.252 4.252
angles (deg): 90.00 90.00 90.00
Fractional positions:
Nb 0.500 0.500 0.500
In 0.500 0.000 0.000
Mg 0.000 0.500 0.000
Mg 0.000 0.000 0.500

## Properties
Energy relative to the elements (eV/atom): 0.0172
SG: P4/mmm

=====

The following is a DFT calculation (PBE) of a relaxed Mg2NbIn2 crystal.

a b c (Å): 8.016 8.016 3.312
angles (deg): 90.00 90.00 90.00
Fractional positions:
Mg 0.163 0.663 0.500
Mg 0.663 0.837 0.500
Mg 0.337 0.163 0.500
Mg 0.837 0.337 0.500
Nb 0.500 0.500 0.000
Nb 0.000 0.000 0.000
In 0.360 0.860 0.000
In 0.860 0.640 0.000
In 0.140 0.360 0.000
In 0.640 0.140 0.000

## Properties
Energy relative to the elements (eV/atom): 0.2213
SG: P4/mbm

=====

The following is a DFT calculation (PBE) of a relaxed Mg2NbIn crystal.

a b c (Å): 7.798 7.798 6.228
angles (deg): 51.25 51.25 90.00
Fractional positions:
In 0.750 0.250 0.500
In 0.000 0.000 0.000
Nb 0.500 0.500 0.000
Nb 0.250 0.750 0.500
Mg 0.875 0.882 0.750
Mg 0.118 0.625 0.250
Mg 0.375 0.368 0.750
Mg 0.632 0.125 0.250

## Properties
Energy relative to the elements (eV/atom): 0.4949
SG: I-42d

=====

The following is a DFT calculation (PBE) of a relaxed MgNbInOs crystal.

a b c (Å): 4.603 4.603 4.603
angles (deg): 60.00 60.00 60.00
Fractional positions:
Mg 0.250 0.250 0.250
In 0.000 0.000 0.000
Os 0.750 0.750 0.750
Nb 0.500 0.500 0.500

## Properties
Energy relative to the elements (eV/atom): -0.0405
SG: F-43m

=====

The following is a DFT calculation (PBE) of a relaxed MgNbInRh crystal.

a b c (Å): 4.630 4.630 4.630
angles (deg): 60.00 60.00 60.00
Site moments in Bohr magnetons follow the coordinates.
Fractional positions:
In 0.500 0.500 0.500  0.00
Rh 0.750 0.750 0.750  0.02
Nb 0.000 0.000 0.000  0.45
Mg 0.250 0.250 0.250  0.01

## Properties
Energy relative to the elements (eV/atom): -0.1118
SG: F-43m

=====

The following is a DFT calculation (PBE) of a relaxed MgNbIn2Se crystal.

a b c (Å): 5.481 4.666 5.481
angles (deg): 90.00 90.00 90.00
Site moments in Bohr magnetons follow the coordinates.
Fractional positions:
Mg 0.000 0.500 0.000  -0.01
In 0.500 0.000 0.000  -0.04
In 0.000 0.000 0.500  -0.02
Se 0.000 0.000 0.000  0.03
Nb 0.500 0.500 0.500  2.16

## Properties
SG: P4/mmm
Uncorrected formation energy (eV per atom): 0.807